Pr5C2Cl9: optimized geometry, PBEsol.

a b c (Å): 8.4678 8.5310 11.8286
angles (deg): 84.68 85.12 61.14
Fractional coordinates of all 32 atoms:
Cl  0.5128  0.0154  0.7695
Cl  0.7787  0.0399  0.0217
Cl  0.0837  0.3393  0.7694
Cl  0.2213  0.9601  0.9783
Cl  0.9163  0.6607  0.2306
Cl  0.2167  0.3302  0.0318
Cl  0.7833  0.6698  0.9682
Cl  0.1761  0.0518  0.5040
Cl  0.4568  0.3250  0.5515
Cl  0.1626  0.8665  0.2566
Cl  0.5000  0.5000  0.0000
Cl  0.4872  0.9846  0.2305
Cl  0.3983  0.4086  0.2767
Cl  0.8239  0.9482  0.4960
Cl  0.5432  0.6750  0.4485
Cl  0.8374  0.1335  0.7434
Cl  0.6017  0.5914  0.7233
Cl  0.0000  0.5000  0.5000
C  0.1414  0.6996  0.8107
C  0.8586  0.3004  0.1893
C  0.1719  0.6892  0.6894
C  0.8281  0.3108  0.3106
Pr  0.8977  0.2959  0.9937
Pr  0.7944  0.3156  0.5072
Pr  0.3964  0.4007  0.7821
Pr  0.1312  0.2727  0.2704
Pr  0.2056  0.6844  0.4928
Pr  0.6036  0.5993  0.2179
Pr  0.2281  0.9294  0.7425
Pr  0.1023  0.7041  0.0063
Pr  0.8688  0.7273  0.7296
Pr  0.7719  0.0706  0.2575

Space group   No. 2
Formation energy from raw total energies   -1.854 eV per atom



RbCoN3: optimized geometry, PBEsol.

a b c (Å): 4.3809 4.3809 4.3809
angles (deg): 90.00 90.00 90.00
Site moments in Bohr magnetons follow the coordinates.
Fractional coordinates of all 5 atoms:
N  0.5000  0.0000  0.0000  0.72
N  0.0000  0.0000  0.5000  0.72
N  0.0000  0.5000  0.0000  0.72
Rb  0.0000  0.0000  0.0000  0.04
Co  0.5000  0.5000  0.5000  -2.39

Space group   No. 221
Formation energy from raw total energies   3.758 eV per atom



Sc2CdCo: optimized geometry, PBEsol.

a b c (Å): 3.1450 3.1450 7.1996
angles (deg): 90.00 90.00 90.00
Site moments in Bohr magnetons follow the coordinates.
Fractional coordinates of all 4 atoms:
Cd  0.5000  0.5000  0.0000  0.00
Sc  0.0000  0.0000  0.7081  -0.04
Sc  0.0000  0.0000  0.2919  -0.04
Co  0.5000  0.5000  0.5000  0.49

ΔH_f (0 K)   -357 meV/atom
Space group   No. 123



NaSi: optimized geometry, PBEsol.

a b c (Å): 6.4051 6.7610 10.2690
angles (deg): 76.69 71.83 61.73
Fractional coordinates of all 16 atoms:
Na  0.5451  0.1788  0.5490
Na  0.2728  0.3212  0.9510
Na  0.4549  0.8212  0.4510
Na  0.0310  0.6464  0.6436
Na  0.6791  0.1464  0.1436
Na  0.3209  0.8536  0.8564
Na  0.9690  0.3536  0.3564
Na  0.7272  0.6788  0.0490
Si  0.2390  0.9431  0.1882
Si  0.9504  0.8336  0.3584
Si  0.3703  0.5569  0.3118
Si  0.0496  0.1664  0.6416
Si  0.8575  0.3336  0.8584
Si  0.6297  0.4431  0.6882
Si  0.7610  0.0569  0.8118
Si  0.1425  0.6664  0.1416

Space group   No. 15
Formation energy from raw total energies   -0.010 eV per atom



BaSbH2: optimized geometry, PBEsol.

a b c (Å): 4.6976 4.6976 4.6976
angles (deg): 60.00 60.00 60.00
Fractional coordinates of all 4 atoms:
H  0.2500  0.2500  0.2500
H  0.7500  0.7500  0.7500
Ba  0.5000  0.5000  0.5000
Sb  0.0000  0.0000  0.0000

Space group   No. 225



TaOsSe2: optimized geometry, PBEsol.

a b c (Å): 3.4467 3.5245 6.6066
angles (deg): 95.99 90.00 90.00
Fractional coordinates of all 4 atoms:
Se  0.5000  0.4923  0.3311
Se  0.0000  0.9460  0.9221
Os  0.5000  0.5760  0.7099
Ta  0.0000  0.9857  0.5369

E above lowest polymorph   0.000 eV/atom
Space group   No. 6
Formation energy from raw total energies   -0.033 eV per atom



no.,total magnetic moment (μB per atom),calculated total energy (eV per cell)
1,0.00,-185.88
2,0.11,-15.55
3,0.09,-23.57
4,0.00,-57.34
5,0.00,-13.46
6,0.00,-32.60